*P*
A plane-wave DFT calculation with PBE was carried out for crystalline FePd6Pt3 at its relaxed geometry.

Geometry as extended XYZ:
```
20
Lattice="8.7561 0.0000 0.0000 0.0000 3.9417 0.0000 -0.0852 0.0000 8.7997" Properties=species:S:1:pos:R:3 pbc="T T T"
Fe 0.4416 0.9854 3.4410
Fe 8.2293 2.9563 5.3587
Pd 0.3525 2.9563 7.8773
Pd 1.1432 0.9854 6.0344
Pd 1.2839 2.9563 1.7666
Pd 1.9977 2.9563 4.3756
Pd 2.9821 0.9854 2.6616
Pd 3.9098 2.9563 0.8762
Pd 4.7611 0.9854 7.9235
Pd 5.6888 2.9563 6.1381
Pd 6.6732 0.9854 4.4241
Pd 7.3870 0.9854 7.0331
Pd 7.5277 2.9563 2.7654
Pd 8.3184 0.9854 0.9224
Pt 2.0990 0.9854 8.7436
Pt 2.9865 2.9563 6.9970
Pt 3.8902 0.9854 5.2748
Pt 4.7807 2.9563 3.5249
Pt 5.6844 0.9854 1.8027
Pt 6.5719 2.9563 0.0561
```

## Properties
crystal system = monoclinic
total moment = 0.54 μB/atom
density of states at the Fermi level = 14.1 states/eV/f.u.

---

*Q*
A plane-wave DFT calculation with PBE was carried out for crystalline FePd6Pt3 at its relaxed geometry.

Geometry as extended XYZ:
```
10
Lattice="4.6696 -2.6067 0.0000 4.6696 2.6067 0.0000 -2.0067 0.0000 6.6132" Properties=species:S:1:pos:R:3 pbc="T T T"
Fe 0.0000 0.0000 0.0000
Pd 2.8053 1.3085 1.2477
Pd 0.5040 0.0000 2.7618
Pd 4.5272 1.3085 5.3656
Pd 2.8053 -1.3085 1.2477
Pd 6.8285 0.0000 3.8514
Pd 4.5272 -1.3085 5.3656
Pt 2.1277 0.0000 5.3972
Pt 3.6662 0.0000 3.3066
Pt 5.2048 0.0000 1.2160
```

## Properties
crystal system = monoclinic
total moment = 0.46 μB/atom
density of states at the Fermi level = 10.1 states/eV/f.u.

---

*P* has the most favorable energy; the next structure is 180 meV per atom above.

---

*P*
A plane-wave DFT calculation with PBE was carried out for crystalline RbFe2Pd at its relaxed geometry.

Geometry as extended XYZ:
```
16
Lattice="4.9582 0.0000 0.0000 0.0000 4.9582 0.0000 0.0000 0.0000 17.4902" Properties=species:S:1:pos:R:3 pbc="T T T"
Rb 0.0000 1.2395 6.5588
Rb 0.0000 3.7186 10.9314
Rb 2.4791 1.2395 2.1863
Rb 2.4791 3.7186 15.3039
Fe 0.0000 0.0000 0.0000
Fe 0.0000 2.4791 0.0000
Fe 1.2395 1.2395 13.1176
Fe 1.2395 3.7186 4.3725
Fe 2.4791 0.0000 8.7451
Fe 2.4791 2.4791 8.7451
Fe 3.7186 1.2395 13.1176
Fe 3.7186 3.7186 4.3725
Pd 0.0000 1.2395 15.3039
Pd 0.0000 3.7186 2.1863
Pd 2.4791 1.2395 10.9314
Pd 2.4791 3.7186 6.5588
```

## Properties
crystal system = tetragonal
total moment = 1.64 μB/atom
density of states at the Fermi level = 7.1 states/eV/f.u.

---

*Q*
A plane-wave DFT calculation with PBE was carried out for crystalline RbFe2Pd at its relaxed geometry.

Geometry as extended XYZ:
```
16
Lattice="6.6860 0.0000 0.0000 0.0000 6.6860 0.0000 0.0000 0.0000 6.6860" Properties=species:S:1:pos:R:3 pbc="T T T"
Rb 0.0000 0.0000 0.0000
Rb 0.0000 3.3430 3.3430
Rb 3.3430 0.0000 3.3430
Rb 3.3430 3.3430 0.0000
Fe 1.6715 1.6715 1.6715
Fe 1.6715 1.6715 5.0145
Fe 1.6715 5.0145 1.6715
Fe 1.6715 5.0145 5.0145
Fe 5.0145 1.6715 1.6715
Fe 5.0145 1.6715 5.0145
Fe 5.0145 5.0145 1.6715
Fe 5.0145 5.0145 5.0145
Pd 0.0000 0.0000 3.3430
Pd 0.0000 3.3430 0.0000
Pd 3.3430 0.0000 0.0000
Pd 3.3430 3.3430 3.3430
```

## Properties
crystal system = cubic
total moment = 1.52 μB/atom
density of states at the Fermi level = 4.0 states/eV/f.u.

---

*P* has the most favorable energy; the next structure is 337 meV per atom above.

---

*P*
A plane-wave DFT calculation with PBE was carried out for crystalline RbFePd2 at its relaxed geometry.

Geometry as extended XYZ:
```
16
Lattice="6.8206 0.0000 0.0000 0.0000 6.8206 0.0000 0.0000 0.0000 6.8206" Properties=species:S:1:pos:R:3 pbc="T T T"
Rb 0.0000 0.0000 0.0000
Rb 0.0000 3.4103 3.4103
Rb 3.4103 0.0000 3.4103
Rb 3.4103 3.4103 0.0000
Fe 0.0000 0.0000 3.4103
Fe 0.0000 3.4103 0.0000
Fe 3.4103 0.0000 0.0000
Fe 3.4103 3.4103 3.4103
Pd 1.7051 1.7051 1.7051
Pd 1.7051 1.7051 5.1154
Pd 1.7051 5.1154 1.7051
Pd 1.7051 5.1154 5.1154
Pd 5.1154 1.7051 1.7051
Pd 5.1154 1.7051 5.1154
Pd 5.1154 5.1154 1.7051
Pd 5.1154 5.1154 5.1154
```

## Properties
crystal system = cubic
total moment = 0.84 μB/atom
density of states at the Fermi level = 5.0 states/eV/f.u.

---

*Q*
A plane-wave DFT calculation with PBE was carried out for crystalline RbFePd2 at its relaxed geometry.

Geometry as extended XYZ:
```
16
Lattice="5.4060 0.0000 0.0000 0.0000 5.4060 0.0000 0.0000 0.0000 16.2971" Properties=species:S:1:pos:R:3 pbc="T T T"
Rb 0.0000 1.3515 6.1114
Rb 0.0000 4.0545 10.1857
Rb 2.7030 1.3515 2.0371
Rb 2.7030 4.0545 14.2600
Fe 0.0000 1.3515 14.2600
Fe 0.0000 4.0545 2.0371
Fe 2.7030 1.3515 10.1857
Fe 2.7030 4.0545 6.1114
Pd 0.0000 0.0000 0.0000
Pd 0.0000 2.7030 0.0000
Pd 1.3515 1.3515 12.2228
Pd 1.3515 4.0545 4.0743
Pd 2.7030 0.0000 8.1486
Pd 2.7030 2.7030 8.1486
Pd 4.0545 1.3515 12.2228
Pd 4.0545 4.0545 4.0743
```

## Properties
crystal system = tetragonal
total moment = 0.98 μB/atom
density of states at the Fermi level = 3.7 states/eV/f.u.

---

*Q* has the most favorable energy; the next structure is 218 meV per atom above.